VASP calculation (GGA+U) on an optimized crystal structure of Mn3MoO6.

Values from the calculation:
As for the mass density: 5.2 g cm⁻³. Its total energy is -7.56 eV/atom.

```
Mn3MoO6
1.0
5.214 0.000 0.064
0.000 5.385 0.000
0.156 0.000 8.100
O Mn Mo
12 6 2
Direct
0.201 0.303 0.084 O
0.314 0.802 0.059 O
0.134 0.066 0.778 O
0.686 0.198 0.941 O
0.634 0.434 0.278 O
0.866 0.934 0.222 O
0.186 0.302 0.441 O
0.366 0.566 0.722 O
0.299 0.803 0.416 O
0.814 0.698 0.559 O
0.701 0.197 0.584 O
0.799 0.697 0.916 O
0.026 0.554 0.261 Mn
0.526 0.946 0.761 Mn
0.500 0.500 0.000 Mn
0.474 0.054 0.239 Mn
0.974 0.446 0.739 Mn
0.000 0.000 0.500 Mn
0.500 0.500 0.500 Mo
0.000 0.000 0.000 Mo
```